# HoMn4Si2

A geometry-optimized HoMn4Si2 structure (GGA-PBE, Alexandria).

Calculated values
SG ... Cmmm
Formation energy (no corrections) ... -0.4671 eV per atom
Spin magnetization ... 0.00 μB/f.u.

```
HoMn4Si2
1.0
3.882 0.000 0.000
0.000 12.972 0.000
0.000 0.000 3.857
Ho Mn Si
2 8 4
Cartesian
0.000 0.000 0.000
1.941 6.486 0.000
0.000 2.596 1.929
0.000 3.882 0.000
0.000 9.090 0.000
0.000 10.376 1.929
1.941 2.604 0.000
1.941 3.890 1.929
1.941 9.082 1.929
1.941 10.368 0.000
0.000 5.265 1.929
0.000 7.707 1.929
1.941 1.221 1.929
1.941 11.751 1.929
```